[1]
Below is crystalline NbFePdAu at its relaxed geometry, with properties calculated at the PBE level.

```
data_NbFePdAu
_cell_length_a 6.319
_cell_length_b 6.319
_cell_length_c 6.319
_cell_angle_alpha 90.00
_cell_angle_beta 90.00
_cell_angle_gamma 90.00
_space_group_name_H-M_alt 'F -4 3 m'
_space_group_IT_number 216
_space_group_name_Hall 'F -4 2 3'
loop_
_atom_site_label
_atom_site_type_symbol
_atom_site_fract_x
_atom_site_fract_y
_atom_site_fract_z
Nb1 Nb 0.000 0.000 0.000
Fe1 Fe 0.250 0.250 0.250
Pd1 Pd 0.250 0.250 0.750
Au1 Au 0.000 0.000 0.500
```

Summary:
crystal system	cubic
density of states at the Fermi level	4.90	states/eV/f.u.
uncorrected energy	-108.12	eV/cell
formation energy from the elements	-0.01	eV per atom

---

[2]
Below is crystalline NdSm5Mg3 at its relaxed geometry, with properties calculated at the PBE level.

```
data_NdSm5Mg3
_cell_length_a 13.565
_cell_length_b 8.218
_cell_length_c 10.934
_cell_angle_alpha 90.00
_cell_angle_beta 97.25
_cell_angle_gamma 90.00
_space_group_name_H-M_alt 'C 1 2/m 1'
_space_group_IT_number 12
_space_group_name_Hall '-C 2y'
loop_
_atom_site_label
_atom_site_type_symbol
_atom_site_fract_x
_atom_site_fract_y
_atom_site_fract_z
Nd1 Nd 0.110 0.000 0.266
Sm1 Sm 0.000 0.330 0.000
Sm2 Sm 0.014 0.500 0.640
Sm3 Sm 0.150 0.204 0.730
Sm4 Sm 0.243 0.000 0.029
Mg1 Mg 0.000 0.000 0.000
Mg2 Mg 0.000 0.000 0.500
Mg3 Mg 0.156 0.500 0.209
Mg4 Mg 0.218 0.500 0.490
```

Summary:
crystal system	monoclinic
density of states at the Fermi level	12.77	states/eV/f.u.
uncorrected energy	-119.41	eV/cell
formation energy from the elements	0.37	eV per atom

---

[3]
Below is crystalline Pa3Se at its relaxed geometry, with properties calculated at the PBE level.

```
data_Pa3Se
_cell_length_a 3.216
_cell_length_b 5.849
_cell_length_c 5.128
_cell_angle_alpha 90.00
_cell_angle_beta 90.00
_cell_angle_gamma 90.00
_space_group_name_H-M_alt 'P m m 2'
_space_group_IT_number 25
_space_group_name_Hall 'P 2 -2'
loop_
_atom_site_label
_atom_site_type_symbol
_atom_site_fract_x
_atom_site_fract_y
_atom_site_fract_z
Pa1 Pa 0.000 0.000 0.000
Pa2 Pa 0.000 0.500 0.001
Pa3 Pa 0.500 0.500 0.501
Se1 Se 0.500 0.000 0.500
```

Summary:
crystal system	orthorhombic
density of states at the Fermi level	10.43	states/eV/f.u.
energy relative to the lowest polymorph listed for this composition	215.3	meV per atom
uncorrected energy	-32.79	eV/cell

---

[4]
Below is crystalline SmNi13 at its relaxed geometry, with properties calculated at the PBE level.

```
data_SmNi13
_cell_length_a 11.212
_cell_length_b 11.212
_cell_length_c 11.212
_cell_angle_alpha 90.00
_cell_angle_beta 90.00
_cell_angle_gamma 90.00
_space_group_name_H-M_alt 'F m -3 c'
_space_group_IT_number 226
_space_group_name_Hall '-F 4a 2 3'
loop_
_atom_site_label
_atom_site_type_symbol
_atom_site_fract_x
_atom_site_fract_y
_atom_site_fract_z
Sm1 Sm 0.250 0.250 0.250
Ni1 Ni 0.000 0.000 0.000
Ni2 Ni 0.000 0.117 0.180
```

Summary:
crystal system	cubic
density of states at the Fermi level	25.79	states/eV/f.u.
uncorrected energy	-648.45	eV/cell
formation energy from the elements	-0.08	eV per atom

---

[5]
Below is crystalline LiTiO2 at its relaxed geometry, with properties calculated at the PBE level.

```
data_LiTiO2
_cell_length_a 2.9006
_cell_length_b 2.9006
_cell_length_c 10.2518
_cell_angle_alpha 90.00
_cell_angle_beta 90.00
_cell_angle_gamma 120.00
_space_group_name_H-M_alt 'P 63 m c'
_space_group_IT_number 186
_space_group_name_Hall 'P 6c -2c'
loop_
_atom_site_label
_atom_site_type_symbol
_atom_site_fract_x
_atom_site_fract_y
_atom_site_fract_z
Li1 Li 0.3333 0.6667 0.0000
Ti1 Ti 0.3333 0.6667 0.2593
O1 O 0.0000 0.0000 0.3775
O2 O 0.3333 0.6667 0.6428
```

Summary:
crystal system	hexagonal
density of states at the Fermi level	1.68	states/eV/f.u.
uncorrected energy	-60.04	eV/cell

---

[6]
Below is crystalline Ti6CuNi5 at its relaxed geometry, with properties calculated at the PBE level.

```
data_Ti6CuNi5
_cell_length_a 4.289
_cell_length_b 6.301
_cell_length_c 7.197
_cell_angle_alpha 115.87
_cell_angle_beta 106.62
_cell_angle_gamma 90.36
_space_group_name_H-M_alt 'P -1'
_space_group_IT_number 2
_space_group_name_Hall '-P 1'
loop_
_atom_site_label
_atom_site_type_symbol
_atom_site_fract_x
_atom_site_fract_y
_atom_site_fract_z
Ti1 Ti 0.026 0.274 0.040
Ti2 Ti 0.324 0.571 0.637
Ti3 Ti 0.364 0.093 0.671
Cu1 Cu 0.500 0.000 0.000
Ni1 Ni 0.109 0.118 0.315
Ni2 Ni 0.113 0.699 0.323
Ni3 Ni 0.500 0.500 0.000
```

Summary:
crystal system	triclinic
density of states at the Fermi level	12.48	states/eV/f.u.
uncorrected energy	-84.20	eV/cell
formation energy from the elements	-0.32	eV per atom

---

[7]
Below is crystalline La3PmDy3 at its relaxed geometry, with properties calculated at the PBE level.

```
data_La3PmDy3
_cell_length_a 10.7739
_cell_length_b 10.7739
_cell_length_c 7.2124
_cell_angle_alpha 90.00
_cell_angle_beta 90.00
_cell_angle_gamma 120.00
_space_group_name_H-M_alt 'R 3 m'
_space_group_IT_number 160
_space_group_name_Hall 'R 3 -2"'
loop_
_atom_site_label
_atom_site_type_symbol
_atom_site_fract_x
_atom_site_fract_y
_atom_site_fract_z
La1 La 0.0438 0.5219 0.0000
Pm1 Pm 0.0000 0.0000 0.5112
Dy1 Dy 0.0935 0.5467 0.5336
```

Summary:
crystal system	trigonal
density of states at the Fermi level	10.37	states/eV/f.u.
energy relative to the lowest polymorph listed for this composition	103.0	meV per atom
uncorrected energy	-95.14	eV/cell
formation energy from the elements	0.23	eV per atom

---

[8]
Below is crystalline ScCu at its relaxed geometry, with properties calculated at the PBE level.

```
data_ScCu
_cell_length_a 3.4242
_cell_length_b 3.4242
_cell_length_c 11.2870
_cell_angle_alpha 90.00
_cell_angle_beta 90.00
_cell_angle_gamma 120.00
_space_group_name_H-M_alt 'R -3 m'
_space_group_IT_number 166
_space_group_name_Hall '-R 3 2"'
loop_
_atom_site_label
_atom_site_type_symbol
_atom_site_fract_x
_atom_site_fract_y
_atom_site_fract_z
Sc1 Sc 0.0000 0.0000 0.0000
Cu1 Cu 0.0000 0.0000 0.5000
```

Summary:
crystal system	trigonal
density of states at the Fermi level	1.93	states/eV/f.u.
uncorrected energy	-31.12	eV/cell
formation energy from the elements	0.03	eV per atom